The following is a PBE-GGA calculation of a relaxed structure of Li3Mg3Al2, from Alexandria via LeMat-Bulk.

Properties
Its calculated formation energy is -0.060 eV/atom.

a = 4.549 Å, b = 4.557 Å, c = 7.295 Å
α = 90.00°, β = 90.00°, γ = 90.00°
Fractional positions:
Li  0.500  0.500  0.245
Li  0.500  0.500  0.755
Li  0.000  0.500  0.000
Mg  0.000  0.500  0.500
Mg  0.500  0.000  0.000
Mg  0.500  0.000  0.500
Al  0.000  0.000  0.240
Al  0.000  0.000  0.760

---

The following is a PBE-GGA calculation of a relaxed structure of Li2HgBr, from Alexandria via LeMat-Bulk.

Properties
For the formation energy (no corrections), the calculation gives -0.6859 eV/atom. The calculation puts the offset from the most stable computed form at 0.33 eV/f.u.

a = 7.230 Å, b = 7.230 Å, c = 7.230 Å
α = 149.57°, β = 149.57°, γ = 43.57°
Fractional positions:
Br  0.500  0.500  0.000
Hg  0.750  0.250  0.500
Li  0.000  0.000  0.000
Li  0.250  0.750  0.500

---

The following is a PBE-GGA calculation of a relaxed structure of NdP2Pd4, from Alexandria via LeMat-Bulk.

Properties
Its calculated formation energy is -0.815 eV/atom.

a = 3.891 Å, b = 7.735 Å, c = 7.735 Å
α = 90.00°, β = 90.00°, γ = 90.00°
Fractional positions:
Nd  0.500  0.000  0.000
Nd  0.000  0.500  0.500
P  0.000  0.222  0.778
P  0.000  0.778  0.222
P  0.500  0.722  0.722
P  0.500  0.278  0.278
Pd  0.000  0.083  0.331
Pd  0.000  0.917  0.669
Pd  0.500  0.169  0.583
Pd  0.500  0.831  0.417
Pd  0.500  0.417  0.831
Pd  0.500  0.583  0.169
Pd  0.000  0.331  0.083
Pd  0.000  0.669  0.917

---

The following is a PBE-GGA calculation of a relaxed structure of Ag5Pd3Au, from Alexandria via LeMat-Bulk.

Properties
Its calculated formation energy is 0.272 eV/atom.

a = 5.823 Å, b = 5.823 Å, c = 10.764 Å
α = 84.39°, β = 84.39°, γ = 84.03°
Fractional positions:
Ag  0.979  0.413  0.332
Ag  0.327  0.673  0.000
Ag  0.713  0.713  0.129
Ag  0.465  0.465  0.300
Ag  0.535  0.535  0.700
Ag  0.287  0.287  0.871
Ag  0.413  0.979  0.332
Ag  0.673  0.327  0.000
Ag  0.021  0.587  0.668
Ag  0.587  0.021  0.668
Pd  0.755  0.755  0.872
Pd  0.694  0.694  0.470
Pd  0.000  0.000  0.000
Pd  0.000  0.000  0.500
Pd  0.245  0.245  0.128
Pd  0.306  0.306  0.530
Au  0.049  0.049  0.738
Au  0.951  0.951  0.262

---

The following is a PBE-GGA calculation of a relaxed structure of Na2NbTe, from Alexandria via LeMat-Bulk.

Properties
For the formation energy (no corrections), the calculation gives 0.4657 eV/atom.

a = 9.245 Å, b = 9.245 Å, c = 7.104 Å
α = 49.41°, β = 49.41°, γ = 90.00°
Each line ends with the local moment (μB).
Fractional positions:
Na  0.665  0.125  0.250  0.00
Na  0.085  0.625  0.250  0.00
Na  0.375  0.335  0.750  0.00
Na  0.875  0.915  0.750  0.00
Nb  0.500  0.500  0.000  2.19
Nb  0.250  0.750  0.500  2.19
Te  0.000  0.000  0.000  -0.06
Te  0.750  0.250  0.500  -0.06

---

The following is a PBE-GGA calculation of a relaxed structure of Ti2VIr, from Alexandria via LeMat-Bulk.

Properties
Its calculated formation energy is -0.508 eV/atom. The calculation puts the offset from the most stable computed form at 0.12 eV/f.u.

a = 3.067 Å, b = 3.067 Å, c = 6.360 Å
α = 90.00°, β = 90.00°, γ = 90.00°
Fractional positions:
Ir  0.500  0.500  0.500
Ti  0.000  0.000  0.753
Ti  0.000  0.000  0.247
V  0.500  0.500  0.000